# 1
VASP calculation (GGA-PBE) on a geometry-optimized AcAl2Ag6 structure. Values from VASP.

Quantum ESPRESSO input file:
```
&SYSTEM
  ibrav = 0, nat = 18, ntyp = 3
/
ATOMIC_SPECIES
Ag 107.87 Ag.upf
Al 26.98 Al.upf
Ac 227.00 Ac.upf
CELL_PARAMETERS angstrom
-4.7763 -5.8369 4.0343
-1.0412 -7.7736 -3.4126
3.7133 -6.7965 3.6300
ATOMIC_POSITIONS crystal
Ag 0.2393 0.7607 0.7607
Ag 0.7607 0.7607 0.2393
Al 0.6250 0.1250 0.1250
Ag 0.4893 0.0107 0.4893
Ac 0.5000 0.5000 0.5000
Ag 0.4893 0.0107 0.0107
Ag 0.7607 0.2393 0.7607
Al 0.1250 0.1250 0.1250
Ag 0.2393 0.7607 0.2393
Al 0.1250 0.1250 0.6250
Ac 0.7500 0.7500 0.7500
Ag 0.0107 0.4893 0.4893
Ag 0.0107 0.4893 0.0107
Al 0.1250 0.6250 0.1250
Ag 0.0107 0.0107 0.4893
Ag 0.4893 0.4893 0.0107
Ag 0.2393 0.2393 0.7607
Ag 0.7607 0.2393 0.2393
```

M_tot ... 0.0 μB per formula unit
Formation enthalpy at 0 K ... 0.2011 eV per atom
Space-group type ... Fd-3m, No. 227
Polymorph energy (0 for the lowest one) ... 0.3746 eV/atom



# 2
VASP calculation (GGA-PBE) on a geometry-optimized AcAl7Ag5 structure. Values from VASP.

Quantum ESPRESSO input file:
```
&SYSTEM
  ibrav = 0, nat = 13, ntyp = 3
/
ATOMIC_SPECIES
Ag 107.87 Ag.upf
Al 26.98 Al.upf
Ac 227.00 Ac.upf
CELL_PARAMETERS angstrom
-1.6924 -5.1810 -1.1048
3.4235 -4.9464 3.9552
-5.6147 -2.0106 4.0328
ATOMIC_POSITIONS crystal
Ag 0.7195 0.7805 0.7805
Ag 0.5014 0.0058 0.4891
Al 0.5045 0.2175 0.7734
Al 0.2712 0.2288 0.2288
Ag 0.0037 0.4891 0.0058
Ag 0.5014 0.4891 0.0058
Al 0.9946 0.6495 0.3614
Ag 0.0037 0.0058 0.4891
Al 0.3572 0.6428 0.6428
Al 0.6428 0.3572 0.3572
Al 0.9946 0.3614 0.6495
Al 0.5045 0.7734 0.2175
Ac 0.0010 0.9990 0.9990
```

M_tot ... 0.0 μB per formula unit
Formation enthalpy at 0 K ... -0.1762 eV per atom
Space-group type ... Imm2, No. 44



Among the records above, which one has the highest formation enthalpy at 0 K? AcAl2Ag6